The following is a PBE calculation of Nd2MgSb3Ir4 after structural relaxation, from Alexandria.

Results
- raw formation energy (meV per atom) = -619
- N(E_F) (states/eV/cell) = 3.95

Cell and atoms, written as CIF:
```
data_Nd2MgSb3Ir4
_space_group_name_H-M_alt 'P -4 m 2'
_space_group_IT_number 115
_cell_length_a 4.3203
_cell_length_b 4.3203
_cell_length_c 11.3708
_cell_angle_alpha 90.00
_cell_angle_beta 90.00
_cell_angle_gamma 90.00
loop_
_space_group_symop_operation_xyz
'x,y,z'
'y,-x,-z'
'-x,-y,z'
'-y,x,-z'
'-x,y,z'
'-y,-x,-z'
'x,-y,z'
'y,x,-z'
loop_
_atom_site_label
_atom_site_fract_x
_atom_site_fract_y
_atom_site_fract_z
Nd1 0.0000 0.5000 0.2486
Mg1 0.5000 0.5000 0.0000
Sb1 0.0000 0.0000 0.0000
Sb2 0.0000 0.5000 0.6348
Ir1 0.0000 0.0000 0.5000
Ir2 0.0000 0.5000 0.8598
Ir3 0.5000 0.5000 0.5000
```